[1]
VASP calculation (GGA-PBE) on Tl5Sn2Hg6 after structural relaxation.

Unit cell a=8.926 b=8.926 c=9.087 alpha=60.59 beta=60.59 gamma=60.00
Sites, in units of the cell vectors:
Tl1 0.581 0.581 0.256
Tl2 0.419 0.419 0.744
Tl3 0.727 0.727 0.820
Tl4 0.273 0.273 0.180
Tl5 0.000 0.000 0.000
Sn1 0.868 0.868 0.395
Sn2 0.132 0.132 0.605
Hg1 0.828 0.500 0.500
Hg2 0.500 0.172 0.500
Hg3 0.172 0.828 0.500
Hg4 0.172 0.500 0.500
Hg5 0.500 0.828 0.500
Hg6 0.828 0.172 0.500

Computed properties:
mass density: 7.92 g/cm³

[2]
VASP calculation (GGA-PBE) on Ca2AlTcNi after structural relaxation.

Unit cell a=5.637 b=4.290 c=5.637 alpha=90.00 beta=90.00 gamma=90.00
Sites, in units of the cell vectors:
Ni1 0.000 0.500 0.000
Ca1 0.000 0.000 0.500
Ca2 0.500 0.000 0.000
Tc1 0.500 0.500 0.500
Al1 0.000 0.000 0.000

Computed properties:
mass density: 3.21 g/cm³

Total DFT energy (no corrections) in eV per atom, matching the order above: -1.444 -3.830
Formation enthalpy at 0 K in eV per atom, matching the order above: 0.221 0.948
Size of the total moment in μB per formula unit, matching the order above: 0.0 3.4